(1)
First-principles (GGA-PBE) data for Y3HgC after structural relaxation, as listed in the Alexandria database.

Values from the calculation:
- total magnetic moment (μB per formula unit) = 0.5
- crystal system = hexagonal
- energy relative to the lowest polymorph listed for this composition (eV/atom) = 0.2852
- ΔE_f (eV per atom) = -0.143

Lattice parameters (Å, degrees): 4.1551 4.1551 17.8447 90.00 90.00 120.00
Last column: nearest neighbours and their distance in Å.
Fractional coordinates of all 10 atoms:
Y 0.0000 0.0000 0.2500  3 C 2.40
Y 0.0000 0.0000 0.7500  3 C 2.40
Y 0.3333 0.6667 0.1144  1 C 2.42
Y 0.3333 0.6667 0.3856  1 C 2.42
Y 0.6667 0.3333 0.6144  1 C 2.42
Y 0.6667 0.3333 0.8856  1 C 2.42
Hg 0.0000 0.0000 0.0000  6 Y 3.15
Hg 0.0000 0.0000 0.5000  6 Y 3.15
C 0.3333 0.6667 0.2500  5 Y 2.40-2.42
C 0.6667 0.3333 0.7500  5 Y 2.40-2.42

***

(2)
First-principles (GGA-PBE) data for ZrTaCl after structural relaxation, as listed in the Alexandria database.

Values from the calculation:
- total magnetic moment (μB per formula unit) = 0.0
- E_form (uncorrected) (eV/atom) = -0.09
- crystal system = orthorhombic
- energy relative to the lowest polymorph listed for this composition (eV/atom) = 0.1932

Lattice parameters (Å, degrees): 7.1473 6.8947 3.0866 81.92 72.76 25.31
Last column: nearest neighbours and their distance in Å.
Fractional coordinates of all 3 atoms:
Zr 0.0000 0.0000 0.0000  2 Cl 2.78, 2 Ta 2.82, 4 Zr 3.09
Ta 0.3331 0.3331 0.6669  2 Zr 2.82, 2 Cl 2.85, 4 Ta 3.09
Cl 0.6635 0.6635 0.3365  2 Zr 2.78, 2 Ta 2.85, 4 Cl 3.09

***

(3)
First-principles (GGA-PBE) data for TcSCl2 after structural relaxation, as listed in the Alexandria database.

Values from the calculation:
- total magnetic moment (μB per formula unit) = 0.0
- E_form (uncorrected) (eV/atom) = -0.18
- crystal system = tetragonal
- energy relative to the lowest polymorph listed for this composition (eV/atom) = 0.1936

Lattice parameters (Å, degrees): 6.6965 6.6965 6.6965 96.35 96.35 141.15
Last column: nearest neighbours and their distance in Å.
Fractional coordinates of all 8 atoms:
Tc 0.0000 0.0000 0.0000  2 S 2.23, 4 Cl 2.48
Tc 0.7500 0.2500 0.5000  2 S 2.23, 4 Cl 2.48
S 0.2500 0.7500 0.5000  2 Tc 2.23
S 0.5000 0.5000 0.0000  2 Tc 2.23
Cl 0.3750 0.0213 0.1463  2 Tc 2.48
Cl 0.7713 0.6250 0.6463  2 Tc 2.48
Cl 0.8750 0.2287 0.8537  2 Tc 2.48
Cl 0.9787 0.1250 0.3537  2 Tc 2.48

***

(4)
First-principles (GGA-PBE) data for DyHo3Ru3 after structural relaxation, as listed in the Alexandria database.

Values from the calculation:
- total magnetic moment (μB per formula unit) = 0.0
- crystal system = monoclinic
- energy relative to the lowest polymorph listed for this composition (eV/atom) = 0.0238
- ΔE_f (eV per atom) = -0.361

Lattice parameters (Å, degrees): 6.7972 6.7972 6.7162 90.04 90.04 90.20
Last column: nearest neighbours and their distance in Å.
Fractional coordinates of all 14 atoms:
Dy 0.2479 0.2479 0.0007  6 Ru 2.91-2.94
Dy 0.7521 0.7521 0.9993  6 Ru 2.91-2.94
Ho 0.2439 0.7561 0.0000  6 Ru 2.89-2.93
Ho 0.2455 0.2455 0.5006  6 Ru 2.89-2.94
Ho 0.2458 0.7542 0.5000  6 Ru 2.90-2.93
Ho 0.7542 0.2458 0.5000  6 Ru 2.90-2.93
Ho 0.7545 0.7545 0.4994  6 Ru 2.89-2.94
Ho 0.7561 0.2439 0.0000  6 Ru 2.89-2.93
Ru 0.0000 0.0000 0.2504  6 Ho 2.89-2.90, 2 Dy 2.91
Ru 0.0000 0.0000 0.7496  6 Ho 2.89-2.90, 2 Dy 2.91
Ru 0.0000 0.5000 0.2504  6 Ho 2.93-2.94, 2 Dy 2.93-2.94
Ru 0.0000 0.5000 0.7496  6 Ho 2.93-2.94, 2 Dy 2.93-2.94
Ru 0.5000 0.0000 0.2504  6 Ho 2.93-2.94, 2 Dy 2.93-2.94
Ru 0.5000 0.0000 0.7496  6 Ho 2.93-2.94, 2 Dy 2.93-2.94

***

(5)
First-principles (GGA-PBE) data for CsIn2As2 after structural relaxation, as listed in the Alexandria database.

Values from the calculation:
- total magnetic moment (μB per formula unit) = 0.0
- crystal system = tetragonal
- energy relative to the lowest polymorph listed for this composition (eV/atom) = 0.2971
- ΔE_f (eV per atom) = -0.022

Lattice parameters (Å, degrees): 8.9272 8.9272 3.5363 90.00 90.00 90.00
Last column: nearest neighbours and their distance in Å.
Fractional coordinates of all 10 atoms:
Cs 0.0000 0.0000 0.0000  4 In 3.52, 2 Cs 3.54, 8 As 3.80
Cs 0.5000 0.5000 0.0000  4 In 3.52, 2 Cs 3.54, 8 As 3.80
In 0.1268 0.3732 0.0000  6 As 3.11-3.24, 1 In 3.20
In 0.3732 0.8732 0.0000  6 As 3.11-3.24, 1 In 3.20
In 0.6268 0.1268 0.0000  6 As 3.11-3.24, 1 In 3.20
In 0.8732 0.6268 0.0000  6 As 3.11-3.24, 1 In 3.20
As 0.1583 0.6583 0.5000  6 In 3.11-3.24
As 0.3417 0.1583 0.5000  6 In 3.11-3.24
As 0.6583 0.8417 0.5000  6 In 3.11-3.24
As 0.8417 0.3417 0.5000  6 In 3.11-3.24

***

(6)
First-principles (GGA-PBE) data for Pr4SmDy2 after structural relaxation, as listed in the Alexandria database.

Values from the calculation:
- total magnetic moment (μB per formula unit) = 0.0
- crystal system = monoclinic
- energy relative to the lowest polymorph listed for this composition (eV/atom) = 0.0000
- ΔE_f (eV per atom) = 0.063

Lattice parameters (Å, degrees): 12.7002 12.7002 6.8939 96.98 96.98 150.22
Last column: nearest neighbours and their distance in Å.
Fractional coordinates of all 14 atoms:
Pr 0.0187 0.9813 0.5000  6 Pr 3.48-3.88, 3 Dy 3.61-3.88, 2 Sm 3.62-3.72
Pr 0.1389 0.6016 0.7405  6 Pr 3.48-3.88, 3 Dy 3.61-3.87, 2 Sm 3.62-3.73
Pr 0.2165 0.6084 0.2717  5 Pr 3.48-3.88, 4 Dy 3.48-3.70, 2 Sm 3.70-3.79
Pr 0.4573 0.5653 0.4679  5 Pr 3.48-3.88, 4 Dy 3.48-3.70, 2 Sm 3.71-3.79
Pr 0.5653 0.4573 0.9679  5 Pr 3.48-3.88, 4 Dy 3.48-3.70, 2 Sm 3.71-3.79
Pr 0.6016 0.1389 0.2405  6 Pr 3.48-3.88, 3 Dy 3.61-3.87, 2 Sm 3.62-3.73
Pr 0.6084 0.2165 0.7717  5 Pr 3.48-3.88, 4 Dy 3.48-3.70, 2 Sm 3.70-3.79
Pr 0.9813 0.0187 0.0000  6 Pr 3.48-3.88, 3 Dy 3.61-3.88, 2 Sm 3.62-3.72
Sm 0.0936 0.8435 0.8693  4 Dy 3.49-3.66, 8 Pr 3.62-3.79
Sm 0.8435 0.0936 0.3693  4 Dy 3.49-3.66, 8 Pr 3.62-3.79
Dy 0.0472 0.7294 0.3205  7 Pr 3.48-3.87, 2 Sm 3.49-3.66, 2 Dy 3.71
Dy 0.3457 0.5279 0.9183  7 Pr 3.48-3.88, 2 Sm 3.49-3.66, 2 Dy 3.71
Dy 0.5279 0.3457 0.4183  7 Pr 3.48-3.88, 2 Sm 3.49-3.66, 2 Dy 3.71
Dy 0.7294 0.0472 0.8205  7 Pr 3.48-3.87, 2 Sm 3.49-3.66, 2 Dy 3.71